Record 1
The following is a PBE calculation of an optimized crystal structure of ScOsOF2, from Alexandria.

Unit cell a=4.509 b=4.509 c=3.710 alpha=90.00 beta=90.00 gamma=90.00
Positions (direct):
Os  0.000  0.000  0.000
F  0.500  0.000  0.000
F  0.000  0.500  0.000
O  0.000  0.000  0.500
Sc  0.500  0.500  0.500

## Properties
- Energy above the lowest structure with this stoichiometry: 0.414 eV per atom
- E_form (uncorrected): -0.83 eV/atom

***

Record 2
The following is a PBE calculation of an optimized crystal structure of BaBe2Br, from Alexandria.

Unit cell a=6.619 b=6.619 c=6.619 alpha=141.58 beta=141.36 gamma=55.63
Positions (direct):
Be  0.000  0.000  0.000
Be  0.500  0.500  0.000
Ba  0.250  0.750  0.500
Br  0.750  0.250  0.500

## Properties
- Energy above the lowest structure with this stoichiometry: 0.397 eV per atom
- E_form (uncorrected): 0.41 eV/atom

***

Record 3
The following is a PBE calculation of an optimized crystal structure of Pm3Co2B4, from Alexandria.

Unit cell a=3.561 b=5.311 c=7.593 alpha=100.57 beta=90.00 gamma=109.59
Positions (direct):
B  0.260  0.520  0.931
B  0.134  0.269  0.713
B  0.740  0.480  0.069
B  0.866  0.731  0.287
Co  0.694  0.388  0.797
Co  0.306  0.612  0.203
Pm  0.614  0.228  0.383
Pm  0.386  0.772  0.617
Pm  0.000  0.000  0.000

## Properties
- ΔH_f (0 K): -29.0 kJ per mole of atoms

***

Record 4
The following is a PBE calculation of an optimized crystal structure of Sr2RuAu, from Alexandria.

Unit cell a=5.431 b=5.431 c=3.538 alpha=90.00 beta=90.00 gamma=90.00
Positions (direct):
Sr  0.000  0.000  0.000
Sr  0.500  0.500  0.000
Ru  0.000  0.500  0.500
Au  0.500  0.000  0.500

## Properties
- ΔH_f (0 K): 5.2 kJ per mole of atoms

***

Record 5
The following is a PBE calculation of an optimized crystal structure of Ca2VSbPb, from Alexandria.

Unit cell a=5.644 b=5.199 c=5.644 alpha=90.00 beta=90.00 gamma=90.00
Positions (direct):
Pb  0.000  0.500  0.000
V  0.000  0.000  0.000
Ca  0.000  0.000  0.500
Ca  0.500  0.000  0.000
Sb  0.500  0.500  0.500

## Properties
- E_form (uncorrected): 0.34 eV/atom

***

Record 6
The following is a PBE calculation of an optimized crystal structure of TlAgAs2, from Alexandria.

Unit cell a=3.713 b=3.713 c=6.962 alpha=90.00 beta=90.00 gamma=90.00
Positions (direct):
Ag  0.500  0.500  0.750
As  0.000  0.000  0.923
As  0.000  0.000  0.577
Tl  0.500  0.500  0.250

## Properties
- ΔH_f (0 K): 16.5 kJ per mole of atoms
- Energy above the lowest structure with this stoichiometry: 0.044 eV per atom

***

Computed Fermi-level density of states (states/eV/cell) in order:
5.9 1.9 5.9 4.2 2.9 1.5